Below is a relaxed HoGePt4 crystal, with properties calculated at the PBE-GGA level.

abc: 5.5360 4.6224 9.1927
angles: 106.67 107.72 89.98
Last column: nearest neighbours and their distance in Å.
Fractional coordinates of all 12 atoms:
1 Ho 0.7746 0.7507 0.0010  8 Pt 2.86-2.95
2 Ho 0.2254 0.2493 0.9990  8 Pt 2.86-2.95
3 Ge 0.5000 0.0000 0.5000  8 Pt 2.56-2.85
4 Ge 0.0000 0.5000 0.5000  8 Pt 2.57-2.85
5 Pt 0.5472 0.1377 0.8000  1 Ge 2.58, 4 Pt 2.82-2.84, 1 Ho 2.87
6 Pt 0.7458 0.3632 0.2007  1 Ge 2.57, 4 Pt 2.82-2.84, 1 Ho 2.86
7 Pt 0.4528 0.8623 0.2000  1 Ge 2.58, 4 Pt 2.82-2.84, 1 Ho 2.87
8 Pt 0.2542 0.6368 0.7993  1 Ge 2.57, 4 Pt 2.82-2.84, 1 Ho 2.86
9 Pt 0.9755 0.0580 0.6580  3 Ge 2.56-2.85, 4 Pt 2.82-2.84
10 Pt 0.3166 0.4406 0.3405  3 Ge 2.58-2.85, 4 Pt 2.82-2.84
11 Pt 0.0245 0.9420 0.3420  3 Ge 2.56-2.85, 4 Pt 2.82-2.84
12 Pt 0.6834 0.5594 0.6595  3 Ge 2.58-2.85, 4 Pt 2.82-2.84

Values from the calculation:
Energy of formation from the pure elements (kcal/mol of atoms): -15.06
Total magnetization (μB/cell): 0.0
Relative energy among the computed polymorphs (kcal/mol of atoms): 2.67
ρ (Mg/m³): 15.82

---

Below is a relaxed HoPuGePt crystal, with properties calculated at the PBE-GGA level.

abc: 5.0109 5.0109 5.0109
angles: 60.00 60.00 60.00
Last column: nearest neighbours and their distance in Å.
Fractional coordinates of all 4 atoms:
1 Ge 0.2500 0.2500 0.2500  4 Ho 3.07, 4 Pu 3.07
2 Ho 0.0000 0.0000 0.0000  4 Ge 3.07, 4 Pt 3.07
3 Pt 0.7500 0.7500 0.7500  4 Ho 3.07, 4 Pu 3.07
4 Pu 0.5000 0.5000 0.5000  4 Pt 3.07, 4 Ge 3.07

Values from the calculation:
Energy of formation from the pure elements (kcal/mol of atoms): -16.38
Total magnetization (μB/cell): 5.2
ρ (Mg/m³): 12.63

---

Number 1: calculated volume 17.81 A^3/atom. Number 2: calculated volume 22.24 A^3/atom.